Record 1
Y2ReH2 | PBE | optimized geometry

Geometry as POSCAR:
```
Y2ReH2
1.0
-1.715 1.715 6.532
1.715 -1.715 6.532
1.715 1.715 -6.532
Y Re H
2 1 2
Cartesian
0.000 0.000 1.794
0.000 0.000 11.271
0.000 0.000 6.532
1.715 0.000 3.266
0.000 1.715 3.266
```

Computed properties:
The excess energy over the best structure of this formula in the dataset comes out at 0.000 eV per atom.


Record 2
Ba2CdNiHg | PBE | optimized geometry

Geometry as POSCAR:
```
Ba2CdNiHg
1.0
5.932 0.000 0.000
0.000 5.932 0.000
0.000 0.000 5.056
Ba Cd Ni Hg
2 1 1 1
Cartesian
0.000 2.966 0.000
2.966 0.000 0.000
0.000 0.000 2.528
0.000 0.000 0.000
2.966 2.966 2.528
```

Computed properties:
Its formation energy is -0.19 eV/atom. The excess energy over the best structure of this formula in the dataset comes out at 0.000 eV per atom.


Record 3
Sr2CuRh | PBE | optimized geometry

Geometry as POSCAR:
```
Sr2CuRh
1.0
-3.128 3.128 7.635
3.128 -3.128 7.635
3.128 3.128 -7.635
Sr Cu Rh
4 2 2
Cartesian
4.692 1.336 -1.909
1.336 1.564 1.909
-1.564 1.792 5.726
1.792 1.564 9.544
3.128 0.000 3.817
0.000 0.000 7.635
0.000 0.000 0.000
0.000 3.128 3.817
```

Computed properties:
Its formation energy is 0.46 eV/atom.


Record 4
ZrZn2As | PBE | optimized geometry

Geometry as POSCAR:
```
ZrZn2As
1.0
3.561 0.000 0.000
0.000 3.562 0.000
-0.011 0.000 5.719
Zr Zn As
1 2 1
Cartesian
0.000 0.000 0.000
1.762 1.781 3.979
3.536 0.000 2.866
1.782 1.781 1.127
```

Computed properties:
Its formation energy is -0.36 eV/atom.


Record 5
TaVW14 | PBE | optimized geometry

Geometry as POSCAR:
```
TaVW14
1.0
3.188 -4.495 0.000
3.188 4.495 0.000
0.000 0.000 9.010
Ta V W
1 1 14
Cartesian
0.000 0.000 0.000
3.188 0.000 0.000
0.000 0.000 4.505
1.594 2.247 0.000
1.594 2.247 4.505
3.188 2.245 2.246
3.188 2.245 6.764
1.610 0.000 2.257
1.610 0.000 6.754
1.594 -2.247 0.000
1.594 -2.247 4.505
3.188 0.000 4.505
4.766 0.000 2.257
4.766 0.000 6.754
3.188 -2.245 2.246
3.188 -2.245 6.764
```

Computed properties:
Its formation energy is -0.06 eV/atom.


Record 6
CaSm3Tl4 | PBE | optimized geometry

Geometry as POSCAR:
```
CaSm3Tl4
1.0
3.871 0.000 0.000
0.000 3.871 0.000
0.000 0.000 15.454
Ca Sm Tl
1 3 4
Cartesian
0.000 0.000 0.000
0.000 0.000 3.850
0.000 0.000 7.727
0.000 0.000 11.604
1.936 1.936 1.951
1.936 1.936 5.818
1.936 1.936 9.636
1.936 1.936 13.503
```

Computed properties:
Its formation energy is -0.39 eV/atom.


Record 7
Rh2W | PBE | optimized geometry

Geometry as POSCAR:
```
Rh2W
1.0
1.372 -7.274 0.000
1.372 7.274 0.000
0.000 0.000 4.470
Rh W
4 2
Cartesian
1.372 6.465 3.352
1.372 1.668 3.352
1.372 -1.668 1.117
1.372 -6.465 1.117
1.372 3.117 1.117
1.372 -3.117 3.352
```

Computed properties:
Its formation energy is -0.06 eV/atom.


Record 8
SbPb3Au | PBE | optimized geometry

Geometry as POSCAR:
```
SbPb3Au
1.0
8.616 0.000 0.000
0.000 4.271 0.000
-4.031 0.000 8.007
Sb Pb Au
2 6 2
Cartesian
0.629 1.068 2.332
3.956 3.203 5.675
-2.350 1.068 5.246
1.730 3.203 0.176
0.819 3.203 5.202
3.766 1.068 2.805
2.855 1.068 7.831
6.935 3.203 2.762
-0.061 1.068 7.092
4.646 3.203 0.915
```

Computed properties:
Its uncorrected formation energy is -21 meV/atom. The excess energy over the best structure of this formula in the dataset comes out at 0.000 eV per atom.


M_tot values (in μB per formula unit) by entry order: 0.0; 0.0; 0.0; 0.0; 0.0; 0.0; 0.0; 0.0.
V values (in Å³ per atom) by entry order: 15.371; 35.578; 37.354; 18.137; 16.138; 28.951; 14.868; 29.465.
N(E_F) values (in states/eV/cell) by entry order: 3.7; 3.3; 0.0; 1.1; 4.4; 4.4; 5.8; 4.5.